[1]
# Ba8TlRhAu2 | Alexandria | PBE | relaxed
data_Ba8TlRhAu2
_chemical_formula_sum 'Ba8 Tl1 Rh1 Au2'
_cell_length_a 7.668
_cell_length_b 9.988
_cell_length_c 7.840
_cell_angle_alpha 90.00
_cell_angle_beta 91.17
_cell_angle_gamma 90.00
_space_group_name_H-M_alt 'P 1 2/m 1'
_space_group_IT_number 10
loop_
_space_group_symop_operation_xyz
'x,y,z'
'-x,-y,-z'
'-x,y,-z'
'x,-y,z'
loop_
_atom_site_label
_atom_site_fract_x
_atom_site_fract_y
_atom_site_fract_z
_atom_site_occupancy
Ba1 0.218 0.000 0.336 1
Ba2 0.237 0.500 0.312 1
Ba3 0.282 0.279 0.827 1
Tl1 0.500 0.000 0.000 1
Rh1 0.500 0.500 0.000 1
Au1 0.000 0.255 0.500 1
# size of the total moment = 0.000 μB per formula unit
# formation energy = -358 meV/atom

[2]
# NiMo2Rh | Alexandria | PBE | relaxed
data_NiMo2Rh
_chemical_formula_sum 'Ni1 Mo2 Rh1'
_cell_length_a 2.709
_cell_length_b 3.895
_cell_length_c 5.359
_cell_angle_alpha 90.00
_cell_angle_beta 90.14
_cell_angle_gamma 90.00
_space_group_name_H-M_alt 'P 1 2/m 1'
_space_group_IT_number 10
loop_
_space_group_symop_operation_xyz
'x,y,z'
'-x,-y,-z'
'-x,y,-z'
'x,-y,z'
loop_
_atom_site_label
_atom_site_fract_x
_atom_site_fract_y
_atom_site_fract_z
_atom_site_occupancy
Ni1 0.000 0.000 0.000 1
Mo1 0.498 0.500 0.244 1
Rh1 0.000 0.000 0.500 1
# energy above the lowest structure with this stoichiometry = 0.092 eV/f.u.
# size of the total moment = 0.000 μB per formula unit
# formation energy = -91 meV/atom

[3]
# ErGa4Pd8 | Alexandria | PBE | relaxed
data_ErGa4Pd8
_chemical_formula_sum 'Er2 Ga8 Pd16'
_cell_length_a 8.850
_cell_length_b 8.850
_cell_length_c 5.356
_cell_angle_alpha 90.00
_cell_angle_beta 90.00
_cell_angle_gamma 90.00
_space_group_name_H-M_alt 'I 4/m m m'
_space_group_IT_number 139
_space_group_name_Hall '-I 4 2'
loop_
_atom_site_label
_atom_site_fract_x
_atom_site_fract_y
_atom_site_fract_z
_atom_site_occupancy
Er1 0.000 0.000 0.000 1
Ga1 0.250 0.250 0.250 1
Pd1 0.000 0.221 0.500 1
Pd2 0.000 0.335 0.000 1
# size of the total moment = 0.000 μB per formula unit
# formation energy = -660 meV/atom

[4]
# Ba3BiOs | Alexandria | PBE | relaxed
data_Ba3BiOs
_chemical_formula_sum 'Ba3 Bi1 Os1'
_cell_length_a 5.873
_cell_length_b 5.873
_cell_length_c 5.873
_cell_angle_alpha 90.00
_cell_angle_beta 90.00
_cell_angle_gamma 90.00
_space_group_name_H-M_alt 'P m -3 m'
_space_group_IT_number 221
_space_group_name_Hall '-P 4 2 3'
loop_
_atom_site_label
_atom_site_fract_x
_atom_site_fract_y
_atom_site_fract_z
_atom_site_occupancy
Ba1 0.000 0.000 0.500 1
Bi1 0.500 0.500 0.500 1
Os1 0.000 0.000 0.000 1
# energy above the lowest structure with this stoichiometry = 0.000 eV/f.u.
# size of the total moment = 0.000 μB per formula unit
# formation energy = 35 meV/atom

Question: The highest formation energy belongs to which entry?
Answer: Ba3BiOs

Question: Among the records above, which one has the lowest formation energy?
Answer: ErGa4Pd8

Question: Which of these has the lowest formation energy?
Answer: ErGa4Pd8

Question: Which formula does entry 1 have?
Answer: Ba8TlRhAu2